Entry from Alexandria via LeMat-Bulk: a relaxed Ce2NdHoIn4 crystal (PBE).

a = 5.425 Å, b = 5.425 Å, c = 9.421 Å
α = 73.27°, β = 73.27°, γ = 60.00°
Site moments in Bohr magnetons follow the coordinates.
Fractional coordinates of all 8 atoms:
Ce (0.751, 0.751, 0.748)  0.80
Ce (0.249, 0.249, 0.252)  0.80
Nd (0.000, 0.000, 0.000)  0.03
Ho (0.500, 0.500, 0.500)  0.01
In (0.376, 0.376, 0.871)  0.01
In (0.874, 0.874, 0.379)  0.01
In (0.126, 0.126, 0.621)  0.01
In (0.624, 0.624, 0.129)  0.01

Properties
- crystal system = trigonal
- space group = No. 166
- E (eV/atom) = -4.42
- calculated formation energy (eV per atom) = -0.40
- ρ (g/cm³) = 7.69